1.
## KRe2Ru (PBE-GGA)

Data for a geometry-optimized KRe2Ru structure.

## Properties
For the formation energy, the calculation gives 0.838 eV/atom. For the energy above the most stable polymorph in this dataset, the calculation gives 0.133 eV/atom.

Lattice parameters (Å, degrees): 2.933 4.620 10.341 90.00 90.00 90.00
Sites, in units of the cell vectors:
K 0.000 0.000 0.000
K 0.500 0.500 0.000
Re 0.000 0.000 0.507
Re 0.000 0.500 0.293
Re 0.500 0.000 0.293
Re 0.500 0.500 0.507
Ru 0.000 0.500 0.718
Ru 0.500 0.000 0.718

***

2.
## CsIF2 (PBE-GGA)

Data for a geometry-optimized CsIF2 structure.

## Properties
For the energy above the most stable polymorph in this dataset, the calculation gives 0.716 eV/atom. As for the uncorrected formation energy: -1.190 eV per atom.

Lattice parameters (Å, degrees): 7.371 7.371 7.371 90.00 90.00 90.00
Sites, in units of the cell vectors:
Cs 0.000 0.000 0.000
Cs 0.000 0.500 0.500
Cs 0.500 0.000 0.500
Cs 0.500 0.500 0.000
I 0.000 0.000 0.500
I 0.000 0.500 0.000
I 0.500 0.000 0.000
I 0.500 0.500 0.500
F 0.250 0.250 0.250
F 0.250 0.250 0.750
F 0.250 0.750 0.250
F 0.250 0.750 0.750
F 0.750 0.250 0.250
F 0.750 0.250 0.750
F 0.750 0.750 0.250
F 0.750 0.750 0.750

***

3.
## Cs2CdSF6 (PBE-GGA)

Data for a geometry-optimized Cs2CdSF6 structure.

## Properties
As for the uncorrected formation energy: -2.065 eV per atom.

Lattice parameters (Å, degrees): 7.065 7.065 7.065 129.26 129.26 74.60
Sites, in units of the cell vectors:
Cs 0.250 0.750 0.500
Cs 0.750 0.250 0.500
Cd 0.000 0.000 0.000
S 0.500 0.500 0.000
F 0.189 0.189 0.000
F 0.275 0.275 0.549
F 0.275 0.725 0.000
F 0.725 0.275 0.000
F 0.725 0.725 0.451
F 0.811 0.811 0.000

***

In the order shown, the computed DOS at the Fermi energy values come out to 9.63 20.66 0.00 states/eV/cell.